No. 1
Tl4TeICl: optimized geometry, PBE-GGA.

* crystal system: monoclinic
* total magnetization: 0.00 μB per formula unit
* electronic total energy: -2.84 eV/atom
* symmetry: P2_1/m

Unit cell a=8.4475 b=7.2357 c=11.1190 alpha=90.00 beta=122.73 gamma=90.00
Sites, in units of the cell vectors:
I  0.3897  0.2500  0.0614
I  0.6103  0.7500  0.9386
Cl  0.8407  0.2500  0.7224
Cl  0.1593  0.7500  0.2776
Tl  0.8787  0.4852  0.2683
Tl  0.4802  0.7500  0.5788
Tl  0.1213  0.9852  0.7317
Tl  0.1213  0.5148  0.7317
Tl  0.6407  0.2500  0.8874
Tl  0.5198  0.2500  0.4212
Tl  0.3593  0.7500  0.1126
Tl  0.8787  0.0148  0.2683
Te  0.2552  0.2500  0.5659
Te  0.7448  0.7500  0.4341


No. 2
Li3Fe2S4: optimized geometry, PBE-GGA.

* crystal system: monoclinic
* total magnetization: 8.58 μB per formula unit
* electronic total energy: -5.13 eV/atom
* symmetry: C2/c
* DOS(E_F): 8.97 states/eV/cell

Unit cell a=7.2480 b=7.2480 c=6.5912 alpha=90.24 beta=90.24 gamma=70.92
Sites, in units of the cell vectors:
S  0.7428  0.5394  0.5800
S  0.2572  0.4606  0.4200
S  0.9539  0.2672  0.0639
S  0.7328  0.0461  0.4361
S  0.2672  0.9539  0.5639
S  0.5394  0.7428  0.0800
S  0.4606  0.2572  0.9200
S  0.0461  0.7328  0.9361
Fe  0.4316  0.1763  0.5831
Fe  0.1763  0.4316  0.0831
Fe  0.8237  0.5684  0.9169
Fe  0.5684  0.8237  0.4169
Li  0.7466  0.9907  0.0611
Li  0.2534  0.0093  0.9389
Li  0.0093  0.2534  0.4389
Li  0.4034  0.5966  0.7500
Li  0.5966  0.4034  0.2500
Li  0.9907  0.7466  0.5611


No. 3
Sc2CuP: optimized geometry, PBE-GGA.

* crystal system: tetragonal
* total magnetization: 0.00 μB per formula unit
* calculated formation energy: -416 meV per atom
* symmetry: I-42d
* DOS(E_F): 4.19 states/eV/cell

Unit cell a=6.9238 b=6.9238 c=5.8945 alpha=54.03 beta=54.03 gamma=90.00
Sites, in units of the cell vectors:
Sc  0.1307  0.6250  0.2500
Sc  0.8750  0.8693  0.7500
Sc  0.3750  0.3807  0.7500
Sc  0.6193  0.1250  0.2500
P  0.5000  0.5000  0.0000
P  0.2500  0.7500  0.5000
Cu  0.0000  0.0000  0.0000
Cu  0.7500  0.2500  0.5000


No. 4
Cr2PtW2: optimized geometry, PBE-GGA.

* crystal system: tetragonal
* total magnetization: 0.00 μB per formula unit
* calculated formation energy: 745 meV per atom
* symmetry: I4/mmm
* ΔE to the lowest computed polymorph: 2.33 eV per formula unit
* DOS(E_F): 4.89 states/eV/cell

Unit cell a=3.9919 b=3.9919 c=5.7158 alpha=69.56 beta=69.56 gamma=90.00
Sites, in units of the cell vectors:
W  0.7500  0.2500  0.5000
W  0.2500  0.7500  0.5000
Cr  0.6070  0.6070  0.7859
Cr  0.3930  0.3930  0.2141
Pt  0.0000  0.0000  0.0000


> The highest total magnetization belongs to which entry?

Li3Fe2S4


> What is the formula in the third record?

Sc2CuP